Record 1
Rb2LiLaBr6: optimized geometry, PBE. Values from VASP.

```
&SYSTEM
  ibrav = 0, nat = 20, ntyp = 4
/
ATOMIC_SPECIES
Rb 85.47 Rb.upf
Li 6.94 Li.upf
La 138.91 La.upf
Br 79.90 Br.upf
CELL_PARAMETERS angstrom
7.8870 0.0000 0.0000
0.0000 8.0922 0.0000
-7.8209 0.0000 11.2033
ATOMIC_POSITIONS crystal
Rb 0.2339 0.0535 0.2487
Rb 0.2339 0.4465 0.7487
Rb 0.7661 0.5535 0.2513
Rb 0.7661 0.9465 0.7513
Li 0.0000 0.0000 0.5000
Li 0.0000 0.5000 0.0000
La 0.5000 0.0000 0.0000
La 0.5000 0.5000 0.5000
Br 0.1652 0.2134 0.9624
Br 0.1652 0.2866 0.4624
Br 0.2522 0.7048 0.9646
Br 0.2522 0.7952 0.4646
Br 0.3130 0.0128 0.7422
Br 0.3130 0.4872 0.2422
Br 0.6871 0.5128 0.7578
Br 0.6871 0.9872 0.2578
Br 0.7478 0.2048 0.5354
Br 0.7478 0.2952 0.0354
Br 0.8348 0.7134 0.5376
Br 0.8348 0.7866 0.0376
```

Offset from the most stable computed form, eV per formula unit: 0.00
Raw total energy, eV per cell: -74.0
E_form (uncorrected), eV/atom: -1.82
DOS(E_F), states/eV/f.u.: 0.00
Space group: P2_1/c (14)

Record 2
KSnSeI: optimized geometry, PBE. Values from VASP.

```
&SYSTEM
  ibrav = 0, nat = 4, ntyp = 4
/
ATOMIC_SPECIES
K 39.10 K.upf
Sn 118.71 Sn.upf
Se 78.96 Se.upf
I 126.90 I.upf
CELL_PARAMETERS angstrom
2.2283 1.2865 8.3255
-2.2283 1.2865 8.3255
0.0000 -2.5730 8.3255
ATOMIC_POSITIONS crystal
K 0.0000 0.0000 0.0000
Sn 0.8115 0.8115 0.8115
Se 0.4208 0.4208 0.4208
I 0.2376 0.2376 0.2376
```

Raw total energy, eV per cell: -13.5
E_form (uncorrected), eV/atom: -0.85
DOS(E_F), states/eV/f.u.: 0.00
Space group: R3m (160)

What is the formula in the first record?
Rb2LiLaBr6

Copy entry 2 word for word.
KSnSeI: optimized geometry, PBE. Values from VASP.

```
&SYSTEM
  ibrav = 0, nat = 4, ntyp = 4
/
ATOMIC_SPECIES
K 39.10 K.upf
Sn 118.71 Sn.upf
Se 78.96 Se.upf
I 126.90 I.upf
CELL_PARAMETERS angstrom
2.2283 1.2865 8.3255
-2.2283 1.2865 8.3255
0.0000 -2.5730 8.3255
ATOMIC_POSITIONS crystal
K 0.0000 0.0000 0.0000
Sn 0.8115 0.8115 0.8115
Se 0.4208 0.4208 0.4208
I 0.2376 0.2376 0.2376
```

Raw total energy, eV per cell: -13.5
E_form (uncorrected), eV/atom: -0.85
DOS(E_F), states/eV/f.u.: 0.00
Space group: R3m (160)

What is the DOS(E_F) in the second record?
0.00 states/eV/f.u.